(1)
Below is CaYHo2 after structural relaxation, with properties calculated at the PBE level.

Structure (POSCAR):
```
CaYHo2
1.0
3.588 0.000 0.000
1.794 3.108 0.000
1.794 1.036 11.997
Ca Y Ho
1 1 2
Direct
0.501 0.501 0.498
0.666 0.666 0.001
0.079 0.079 0.764
0.255 0.255 0.236
```

Offset from the most stable computed form in kJ/mol of formula units: 0
ΔH_f (0 K) in meV/atom: 68


(2)
Below is CaY2Ho2 after structural relaxation, with properties calculated at the PBE level.

Structure (POSCAR):
```
CaY2Ho2
1.0
-3.284 -2.162 1.492
2.353 -3.483 0.132
4.026 5.683 11.166
Ca Y Ho
1 2 2
Direct
0.000 0.000 0.000
0.858 0.858 0.715
0.142 0.142 0.285
0.250 0.750 0.500
0.750 0.250 0.500
```

ΔH_f (0 K) in meV/atom: 818


(3)
Below is CaY6Ho3 after structural relaxation, with properties calculated at the PBE level.

Structure (POSCAR):
```
CaY6Ho3
1.0
3.567 0.000 0.000
0.000 11.641 -2.734
0.000 -0.280 15.988
Ca Y Ho
2 12 6
Direct
0.250 0.367 0.938
0.750 0.633 0.062
0.250 0.389 0.541
0.750 0.611 0.459
0.250 0.882 0.021
0.750 0.118 0.979
0.250 0.835 0.615
0.750 0.165 0.385
0.250 0.655 0.273
0.750 0.345 0.727
0.250 0.615 0.850
0.750 0.385 0.150
0.250 0.139 0.178
0.750 0.861 0.822
0.250 0.116 0.568
0.750 0.884 0.432
0.250 0.387 0.331
0.750 0.613 0.669
0.250 0.101 0.780
0.750 0.899 0.220
```

ΔH_f (0 K) in meV/atom: 78


(4)
Below is CaY5Ho6 after structural relaxation, with properties calculated at the PBE level.

Structure (POSCAR):
```
CaY5Ho6
1.0
6.118 -0.488 -0.741
-2.775 5.475 -0.741
0.437 0.651 11.797
Y Ca Ho
5 1 6
Direct
0.834 0.166 0.500
0.667 0.333 0.000
0.500 0.500 0.500
0.333 0.667 0.000
0.166 0.834 0.500
0.000 0.000 0.000
0.915 0.576 0.747
0.424 0.085 0.253
0.746 0.746 0.253
0.254 0.254 0.747
0.576 0.915 0.747
0.085 0.424 0.253
```

ΔH_f (0 K) in meV/atom: 57


Number 1: calculated density 5.70 g/cm³. Number 2: calculated density 4.01 g/cm³. Number 3: calculated density 5.37 g/cm³. Number 4: calculated density 6.35 g/cm³.